PBE GeBRh3, relaxed; formation enthalpy at 0 K = -181 meV/atom; energy relative to the lowest polymorph listed for this composition = 89 kJ/mol of formula units; N(E_F) = 1.03 states/eV per cell
1.0
4.088 0.000 0.000
0.000 4.088 0.000
0.000 0.000 4.088
Rh B Ge
3 1 1
Direct
0.000 0.000 0.500 Rh
0.500 0.000 0.000 Rh
0.000 0.500 0.000 Rh
0.000 0.000 0.000 B
0.500 0.500 0.500 Ge

***

PBE GeBRh3, relaxed; formation enthalpy at 0 K = -359 meV/atom; energy relative to the lowest polymorph listed for this composition = 3 kJ/mol of formula units; N(E_F) = 15.56 states/eV per cell
1.0
-1.320 -1.844 2.945
1.767 -4.776 -2.199
11.132 1.414 5.873
Rh Ge B
12 4 4
Direct
0.750 0.285 0.287 Rh
0.250 0.021 0.414 Rh
0.250 0.715 0.713 Rh
0.250 0.375 0.557 Rh
0.250 0.521 0.086 Rh
0.750 0.479 0.914 Rh
0.250 0.875 0.943 Rh
0.750 0.125 0.057 Rh
0.250 0.215 0.787 Rh
0.750 0.785 0.213 Rh
0.750 0.625 0.443 Rh
0.750 0.979 0.586 Rh
0.750 0.910 0.812 Ge
0.250 0.090 0.188 Ge
0.250 0.590 0.312 Ge
0.750 0.410 0.688 Ge
0.250 0.272 0.954 B
0.750 0.228 0.454 B
0.750 0.728 0.046 B
0.250 0.772 0.546 B

***

PBE GeB3Rh6, relaxed; formation enthalpy at 0 K = -345 meV/atom; N(E_F) = 13.88 states/eV per cell
1.0
-0.567 0.899 3.131
3.641 -7.510 2.816
6.416 6.393 -0.672
Rh B Ge
12 6 2
Direct
0.250 0.738 0.308 Rh
0.750 0.778 0.755 Rh
0.250 0.409 0.546 Rh
0.750 0.262 0.692 Rh
0.250 0.222 0.245 Rh
0.750 0.100 0.944 Rh
0.750 0.446 0.137 Rh
0.250 0.900 0.056 Rh
0.250 0.953 0.610 Rh
0.750 0.047 0.390 Rh
0.750 0.591 0.454 Rh
0.250 0.554 0.863 Rh
0.750 0.517 0.684 B
0.250 0.483 0.316 B
0.750 0.838 0.472 B
0.250 0.162 0.528 B
0.750 0.069 0.166 B
0.250 0.931 0.834 B
0.250 0.296 0.917 Ge
0.750 0.704 0.083 Ge

***

PBE Sm3GeB2Rh9, relaxed; formation enthalpy at 0 K = -667 meV/atom; N(E_F) = 12.45 states/eV per cell
1.0
-3.306 -2.068 -4.737
-2.030 -0.792 5.736
-3.632 6.648 -0.368
Rh B Sm Ge
9 2 3 1
Direct
0.178 0.822 0.313 Rh
0.644 0.822 0.313 Rh
0.356 0.178 0.687 Rh
0.500 0.000 0.000 Rh
0.500 0.500 0.000 Rh
0.822 0.644 0.687 Rh
0.822 0.178 0.687 Rh
0.000 0.500 0.000 Rh
0.178 0.356 0.313 Rh
0.333 0.667 0.146 B
0.667 0.333 0.854 B
0.667 0.333 0.336 Sm
0.333 0.667 0.664 Sm
0.000 0.000 0.000 Sm
0.000 0.000 0.500 Ge

***

PBE Tb2GeB2Rh5, relaxed; formation enthalpy at 0 K = -795 meV/atom; N(E_F) = 5.55 states/eV per cell
1.0
-3.097 -0.995 0.224
1.113 -5.214 -7.776
2.731 -7.309 5.292
Rh B Ge Tb
10 4 2 4
Direct
0.500 0.000 0.500 Rh
0.500 0.930 0.218 Rh
0.500 0.570 0.718 Rh
0.500 0.070 0.782 Rh
0.500 0.430 0.282 Rh
0.500 0.500 0.000 Rh
0.500 0.782 0.930 Rh
0.500 0.218 0.070 Rh
0.500 0.718 0.430 Rh
0.500 0.282 0.570 Rh
0.000 0.379 0.121 B
0.000 0.621 0.879 B
0.000 0.879 0.379 B
0.000 0.121 0.621 B
0.000 0.000 0.000 Ge
0.000 0.500 0.500 Ge
0.000 0.324 0.824 Tb
0.000 0.676 0.176 Tb
0.000 0.824 0.676 Tb
0.000 0.176 0.324 Tb

***

PBE Tb2GeBRh6, relaxed; formation enthalpy at 0 K = -637 meV/atom; N(E_F) = 7.98 states/eV per cell
1.0
-3.216 5.302 0.069
-4.778 -2.865 -2.728
-5.621 0.180 2.611
Rh Tb B Ge
6 2 1 1
Direct
0.734 0.734 0.000 Rh
0.266 0.734 0.000 Rh
0.734 0.734 0.532 Rh
0.266 0.266 0.000 Rh
0.734 0.266 0.000 Rh
0.266 0.266 0.468 Rh
0.750 0.250 0.500 Tb
0.250 0.750 0.500 Tb
0.500 0.500 0.000 B
0.000 0.000 0.000 Ge

***

PBE TbGeBRh3, relaxed; formation enthalpy at 0 K = -664 meV/atom; N(E_F) = 6.11 states/eV per cell
1.0
5.759 0.000 0.000
0.000 5.698 0.000
0.000 -2.849 6.052
Rh B Tb Ge
6 2 2 2
Direct
0.000 0.254 0.000 Rh
0.250 0.181 0.361 Rh
0.500 0.254 0.000 Rh
0.000 0.746 0.000 Rh
0.500 0.746 0.000 Rh
0.750 0.819 0.639 Rh
0.750 0.992 0.984 B
0.250 0.008 0.016 B
0.750 0.257 0.515 Tb
0.250 0.743 0.485 Tb
0.750 0.625 0.250 Ge
0.250 0.375 0.750 Ge

***

PBE Tb4GeB3Rh12, relaxed; formation enthalpy at 0 K = -700 meV/atom; N(E_F) = 15.80 states/eV per cell
1.0
7.450 0.000 0.000
-2.483 7.024 0.000
-2.483 -3.512 6.083
Rh Tb B Ge
12 4 3 1
Direct
0.250 0.500 0.750 Rh
0.000 0.269 0.269 Rh
0.000 0.731 0.731 Rh
0.269 0.000 0.269 Rh
0.500 0.750 0.250 Rh
0.750 0.500 0.250 Rh
0.250 0.750 0.500 Rh
0.500 0.250 0.750 Rh
0.750 0.250 0.500 Rh
0.731 0.731 0.000 Rh
0.731 0.000 0.731 Rh
0.269 0.269 0.000 Rh
0.000 0.500 0.000 Tb
0.500 0.000 0.000 Tb
0.000 0.000 0.500 Tb
0.500 0.500 0.500 Tb
0.500 0.000 0.500 B
0.000 0.500 0.500 B
0.500 0.500 0.000 B
0.000 0.000 0.000 Ge

***

One value per record, in order, for M_tot: 0.000 0.000 0.000 0.000 0.000 0.000 0.000 0.000 μB per atom.